No. 1
Computed, not measured: a geometry-optimized CaCeDyHo structure at the PBE-GGA level of DFT.

Output
Total magnetization = 8.026 μB/cell
Volume = 536.5 Å³ per cell
Calculated formation energy = 0.243 eV per atom

a b c (Å): 8.1258 8.1258 8.1258
angles (deg): 90.00 90.00 90.00
Space group F-43m (No. 216)
Inequivalent atoms, fractional coordinates:
Ca1 0.0000 0.0000 0.0000 (multiplicity 4)
Ce1 0.0000 0.0000 0.5000 (multiplicity 4)
Dy1 0.2500 0.2500 0.2500 (multiplicity 4)
Ho1 0.2500 0.2500 0.7500 (multiplicity 4)

***

No. 2
Computed, not measured: a geometry-optimized CaCeDyIn structure at the PBE-GGA level of DFT.

Output
Total magnetization = 14.125 μB/cell
Volume = 475.9 Å³ per cell
Calculated formation energy = 0.012 eV per atom

a b c (Å): 7.8075 7.8075 7.8075
angles (deg): 90.00 90.00 90.00
Space group F-43m (No. 216)
Inequivalent atoms, fractional coordinates:
Ca1 0.0000 0.0000 0.0000 (multiplicity 4)
Ce1 0.2500 0.2500 0.7500 (multiplicity 4)
Dy1 0.0000 0.0000 0.5000 (multiplicity 4)
In1 0.2500 0.2500 0.2500 (multiplicity 4)